Density functional theory data (PBE) for a geometry-optimized Pm5ErS6 structure.

Output
Density ... 6.61 g/cm³
Raw formation energy ... -24.3 eV per formula unit
Space-group type ... C2/m (12)

Cell and atoms, written as extended XYZ:
```
12
Lattice="-1.207 3.538 -5.837 -3.864 -3.838 -4.296 -6.931 0.390 0.285" Properties=species:S:1:pos:R:3 pbc="T T T"
S -3.469 2.491 -4.674
S -4.835 -1.297 -3.885
S -1.232 -0.056 -2.477
S -3.840 -0.244 -7.656
S -7.167 1.388 -5.963
S -8.533 -2.401 -5.174
Er 0.000 0.000 0.000
Pm -5.824 1.369 -3.466
Pm -3.608 -1.145 -1.332
Pm -2.536 -0.150 -5.067
Pm -7.187 -2.303 -2.679
Pm -6.178 -1.279 -6.382
```